KLa2Cd2 | PBE | optimized geometry

Values from the calculation:
Distance to the lowest polymorph of the same formula   280 meV/atom
Total magnetization   0.00 μB/atom
Calculated density   4.72 g/cm3
E_form   0.193 eV/atom

Unit cell a=5.7635 b=5.7635 c=7.0348 alpha=65.82 beta=65.82 gamma=90.00
With the nearest neighbours (Å) after each atom.
Fractional positions:
La 0.6294 0.6294 0.7412  1 La 2.97, 4 Cd 3.20
K 0.0000 0.0000 0.0000  8 Cd 4.07, 10 La 4.25-4.34
Cd 0.7500 0.2500 0.5000  4 La 3.20
Cd 0.2500 0.7500 0.5000  4 La 3.20
La 0.3706 0.3706 0.2588  1 La 2.97, 4 Cd 3.20

Co4Cu | PBE | optimized geometry

Values from the calculation:
Distance to the lowest polymorph of the same formula   0 meV/atom
Total magnetization   1.33 μB/atom
Calculated density   8.94 g/cm3
E_form   0.083 eV/atom

Unit cell a=5.5869 b=5.5869 c=4.3332 alpha=49.86 beta=49.86 gamma=90.00
With the nearest neighbours (Å) after each atom.
Fractional positions:
Co 0.4071 0.8003 0.0000  9 Co 2.46-2.56, 3 Cu 2.50-2.53
Co 0.5929 0.1997 0.0000  9 Co 2.46-2.56, 3 Cu 2.50-2.53
Cu 0.0000 0.0000 0.0000  12 Co 2.50-2.53
Co 0.8003 0.5929 0.0000  9 Co 2.46-2.56, 3 Cu 2.50-2.53
Co 0.1997 0.4071 0.0000  9 Co 2.46-2.56, 3 Cu 2.50-2.53